The following is a DFT calculation (PBE) of a relaxed structure of LaTm2Co.

CIF file:
```
data_LaTm2Co
_space_group_name_H-M_alt 'P 1 21/m 1'
_space_group_IT_number 11
_cell_length_a 3.644
_cell_length_b 9.517
_cell_length_c 6.342
_cell_angle_alpha 90.00
_cell_angle_beta 106.63
_cell_angle_gamma 90.00
loop_
_space_group_symop_operation_xyz
'x,y,z'
'-x,-y,-z'
'-x,y+1/2,-z'
'x,-y+1/2,z'
loop_
_atom_site_label
_atom_site_fract_x
_atom_site_fract_y
_atom_site_fract_z
_atom_site_occupancy
La1 0.085 0.250 0.171 1
Tm1 0.355 0.074 0.711 1
Co1 0.249 0.750 0.498 1
```

Properties
Crystal system: monoclinic
Fermi-level density of states (states/eV/f.u.): 5.07
Energy above the most stable polymorph in this dataset (eV/f.u.): 0.00
Raw total energy (eV for the cell shown): -43.1

=====

The following is a DFT calculation (PBE) of a relaxed structure of La2TmCo.

CIF file:
```
data_La2TmCo
_space_group_name_H-M_alt 'P 4/m m m'
_space_group_IT_number 123
_space_group_name_Hall '-P 4 2'
_cell_length_a 3.569
_cell_length_b 3.569
_cell_length_c 8.824
_cell_angle_alpha 90.00
_cell_angle_beta 90.00
_cell_angle_gamma 90.00
loop_
_atom_site_label
_atom_site_fract_x
_atom_site_fract_y
_atom_site_fract_z
_atom_site_occupancy
La1 0.000 0.000 0.195 1
Tm1 0.500 0.500 0.500 1
Co1 0.500 0.500 0.000 1
```

Properties
Crystal system: tetragonal
Fermi-level density of states (states/eV/f.u.): 4.93
Energy above the most stable polymorph in this dataset (eV/f.u.): 0.73
Raw total energy (eV for the cell shown): -21.1

=====

The following is a DFT calculation (PBE) of a relaxed structure of La2TmCo.

CIF file:
```
data_La2TmCo
_space_group_name_H-M_alt 'R 3 m'
_space_group_IT_number 160
_space_group_name_Hall 'R 3 -2"'
_cell_length_a 3.8831
_cell_length_b 3.8831
_cell_length_c 27.5988
_cell_angle_alpha 90.00
_cell_angle_beta 90.00
_cell_angle_gamma 120.00
loop_
_atom_site_label
_atom_site_fract_x
_atom_site_fract_y
_atom_site_fract_z
_atom_site_occupancy
La1 0.0000 0.0000 0.0000 1
La2 0.0000 0.0000 0.2171 1
Tm1 0.0000 0.0000 0.7748 1
Co1 0.0000 0.0000 0.6094 1
```

Properties
Crystal system: trigonal
Fermi-level density of states (states/eV/f.u.): 5.66
Energy above the most stable polymorph in this dataset (eV/f.u.): 0.62
Raw total energy (eV for the cell shown): -63.7

=====

The following is a DFT calculation (PBE) of a relaxed structure of LaTm3Co.

CIF file:
```
data_LaTm3Co
_space_group_name_H-M_alt 'P m -3 m'
_space_group_IT_number 221
_space_group_name_Hall '-P 4 2 3'
_cell_length_a 5.255
_cell_length_b 5.255
_cell_length_c 5.255
_cell_angle_alpha 90.00
_cell_angle_beta 90.00
_cell_angle_gamma 90.00
loop_
_atom_site_label
_atom_site_fract_x
_atom_site_fract_y
_atom_site_fract_z
_atom_site_occupancy
La1 0.000 0.000 0.000 1
Tm1 0.000 0.500 0.500 1
Co1 0.500 0.500 0.500 1
```

Properties
Crystal system: cubic
Fermi-level density of states (states/eV/f.u.): 7.19
Energy above the most stable polymorph in this dataset (eV/f.u.): 0.19
Raw total energy (eV for the cell shown): -25.8

=====

The following is a DFT calculation (PBE) of a relaxed structure of LaTm3Co8.

CIF file:
```
data_LaTm3Co8
_space_group_name_H-M_alt 'R 3 m'
_space_group_IT_number 160
_space_group_name_Hall 'R 3 -2"'
_cell_length_a 5.0587
_cell_length_b 5.0587
_cell_length_c 24.9267
_cell_angle_alpha 90.00
_cell_angle_beta 90.00
_cell_angle_gamma 120.00
loop_
_atom_site_label
_atom_site_fract_x
_atom_site_fract_y
_atom_site_fract_z
_atom_site_occupancy
La1 0.0000 0.0000 0.0000 1
Tm1 0.0000 0.0000 0.1254 1
Tm2 0.0000 0.0000 0.5005 1
Tm3 0.0000 0.0000 0.6246 1
Co1 0.0000 0.0000 0.3122 1
Co2 0.0000 0.0000 0.8131 1
Co3 0.0029 0.5015 0.0652 1
Co4 0.1696 0.3391 0.8938 1
```

Properties
Crystal system: trigonal
Fermi-level density of states (states/eV/f.u.): 16.07
Raw total energy (eV for the cell shown): -232.6

=====

The following is a DFT calculation (PBE) of a relaxed structure of LaTmCo4.

CIF file:
```
data_LaTmCo4
_space_group_name_H-M_alt 'F -4 3 m'
_space_group_IT_number 216
_space_group_name_Hall 'F -4 2 3'
_cell_length_a 7.238
_cell_length_b 7.238
_cell_length_c 7.238
_cell_angle_alpha 90.00
_cell_angle_beta 90.00
_cell_angle_gamma 90.00
loop_
_atom_site_label
_atom_site_fract_x
_atom_site_fract_y
_atom_site_fract_z
_atom_site_occupancy
La1 0.000 0.000 0.000 1
Tm1 0.250 0.250 0.750 1
Co1 0.124 0.124 0.376 1
```

Properties
Crystal system: cubic
Fermi-level density of states (states/eV/f.u.): 9.60
Raw total energy (eV for the cell shown): -154.2

=====

The following is a DFT calculation (PBE) of a relaxed structure of LaTmCo2.

CIF file:
```
data_LaTmCo2
_space_group_name_H-M_alt 'P 4/m m m'
_space_group_IT_number 123
_space_group_name_Hall '-P 4 2'
_cell_length_a 3.395
_cell_length_b 3.395
_cell_length_c 6.817
_cell_angle_alpha 90.00
_cell_angle_beta 90.00
_cell_angle_gamma 90.00
loop_
_atom_site_label
_atom_site_fract_x
_atom_site_fract_y
_atom_site_fract_z
_atom_site_occupancy
La1 0.000 0.000 0.000 1
Tm1 0.000 0.000 0.500 1
Co1 0.500 0.500 0.268 1
```

Properties
Crystal system: tetragonal
Fermi-level density of states (states/eV/f.u.): 2.16
Energy above the most stable polymorph in this dataset (eV/f.u.): 0.00
Raw total energy (eV for the cell shown): -23.9

=====

The following is a DFT calculation (PBE) of a relaxed structure of LaTm3Co.

CIF file:
```
data_LaTm3Co
_space_group_name_H-M_alt 'C 1 2/m 1'
_space_group_IT_number 12
_cell_length_a 13.122
_cell_length_b 3.730
_cell_length_c 11.098
_cell_angle_alpha 90.00
_cell_angle_beta 91.42
_cell_angle_gamma 90.00
loop_
_space_group_symop_operation_xyz
'x,y,z'
'-x,-y,-z'
'-x,y,-z'
'x,-y,z'
'x+1/2,y+1/2,z'
'-x+1/2,-y+1/2,-z'
'-x+1/2,y+1/2,-z'
'x+1/2,-y+1/2,z'
loop_
_atom_site_label
_atom_site_fract_x
_atom_site_fract_y
_atom_site_fract_z
_atom_site_occupancy
La1 0.163 0.000 0.088 1
Tm1 0.060 0.000 0.375 1
Tm2 0.070 0.500 0.831 1
Tm3 0.217 0.000 0.633 1
Co1 0.086 0.500 0.560 1
```

Properties
Crystal system: monoclinic
Fermi-level density of states (states/eV/f.u.): 5.43
Energy above the most stable polymorph in this dataset (eV/f.u.): 0.00
Raw total energy (eV for the cell shown): -104.1

=====

What is the formula in the fifth record?
LaTm3Co8

=====

What is the Fermi-level density of states in the first record?
5.07 states/eV/f.u.

=====

raw total energy of number 3 (La2TmCo)?
-63.7 eV for the cell shown

=====

What is the raw total energy in the sixth record?
-154.2 eV for the cell shown